A plane-wave DFT calculation with PBE-GGA was carried out for crystalline ZrNiTe2 at its relaxed geometry.

a = 4.9805 Å, b = 4.9805 Å, c = 4.9805 Å
α = 60.00°, β = 60.00°, γ = 60.00°
Sites, in units of the cell vectors:
Zr: 0.0000 0.0000 0.0000
Ni: 0.7500 0.7500 0.7500
Te: 0.2500 0.2500 0.2500
Te: 0.5000 0.5000 0.5000

Values from the calculation:
V (Å³ per cell): 87
Total magnetization (μB per cell): 0.00
Formation energy without anion corrections (eV per formula unit): 0.69
Space group: F-43m
Total energy (eV/atom): -4.981